FeReN2O, optimized geometry, DFT PBE with a Hubbard U; calculated total energy = -7.84 eV per atom
1.0
-2.900 -1.781 1.949
-0.292 -2.660 -2.866
2.559 -2.208 1.789
Re Fe O N
1 1 1 2
Direct
0.000 0.000 0.000 Re
0.500 0.500 0.500 Fe
0.000 0.000 0.500 O
0.000 0.500 0.000 N
0.500 0.000 0.000 N